1.
Computed, not measured: crystalline La2MgGa4Ir3 at its relaxed geometry at the PBE level of DFT.

```
La2MgGa4Ir3
1.0
-3.158 -2.171 -1.754
-1.735 -0.549 3.802
-5.825 9.509 -1.285
La Mg Ga Ir
2 1 4 3
direct
0.500 0.000 0.235 La
0.000 0.500 0.765 La
0.500 0.500 0.500 Mg
0.500 0.500 0.000 Ga
0.000 0.000 0.000 Ga
0.500 0.000 0.641 Ga
0.000 0.500 0.359 Ga
0.000 0.000 0.500 Ir
0.500 0.000 0.869 Ir
0.000 0.500 0.131 Ir
```

Summary:
space group = P-4m2, No. 115
formation energy from the elements = -0.64 eV per atom

---

2.
Computed, not measured: crystalline LaMg2GaIr at its relaxed geometry at the PBE level of DFT.

```
LaMg2GaIr
1.0
4.966 0.000 0.000
0.000 4.966 0.000
0.000 0.000 4.819
Mg Ir Ga La
2 1 1 1
direct
0.000 0.500 0.000 Mg
0.500 0.000 0.000 Mg
0.000 0.000 0.000 Ir
0.000 0.000 0.500 Ga
0.500 0.500 0.500 La
```

Summary:
space group = P4/mmm, No. 123
formation energy from the elements = -0.36 eV per atom

---

3.
Computed, not measured: crystalline La2MnGa3Ir4 at its relaxed geometry at the PBE level of DFT.

```
La2MnGa3Ir4
1.0
4.250 0.000 0.000
0.000 4.250 0.000
0.000 0.000 10.629
La Mn Ga Ir
2 1 3 4
direct
0.500 0.000 0.243 La
0.000 0.500 0.757 La
0.500 0.500 0.500 Mn
0.000 0.000 0.500 Ga
0.500 0.000 0.875 Ga
0.000 0.500 0.125 Ga
0.500 0.500 0.000 Ir
0.000 0.000 0.000 Ir
0.500 0.000 0.638 Ir
0.000 0.500 0.362 Ir
```

Summary:
space group = P-4m2, No. 115
formation energy from the elements = -0.63 eV per atom

---

4.
Computed, not measured: crystalline LaNdGaIr at its relaxed geometry at the PBE level of DFT.

```
LaNdGaIr
1.0
-4.982 -0.073 1.381
-1.624 -3.290 3.643
-1.422 1.779 4.642
Ir Nd Ga La
1 1 1 1
direct
0.750 0.750 0.750 Ir
0.000 0.000 0.000 Nd
0.250 0.250 0.250 Ga
0.500 0.500 0.500 La
```

Summary:
space group = F-43m, No. 216
formation energy from the elements = -0.51 eV per atom
E above lowest polymorph = 0.154 eV/atom

---

5.
Computed, not measured: crystalline LaNdGaIr at its relaxed geometry at the PBE level of DFT.

```
LaNdGaIr
1.0
-1.402 0.328 -4.142
3.357 -1.737 -1.273
-1.814 -5.346 2.512
La Nd Ga Ir
1 1 1 1
direct
0.867 0.500 0.734 La
0.149 0.000 0.297 Nd
0.567 0.500 0.135 Ga
0.417 0.000 0.834 Ir
```

Summary:
space group = Amm2, No. 38
formation energy from the elements = -0.66 eV per atom
E above lowest polymorph = 0.000 eV/atom

---

6.
Computed, not measured: crystalline LaGa4Ni2Ir at its relaxed geometry at the PBE level of DFT.

```
LaGa4Ni2Ir
1.0
-1.606 -3.349 -1.861
2.405 -2.404 -2.385
2.424 -7.019 5.904
La Ga Ni Ir
1 4 2 1
direct
0.000 0.000 0.000 La
0.405 0.405 0.785 Ga
0.870 0.870 0.389 Ga
0.130 0.130 0.611 Ga
0.595 0.595 0.215 Ga
0.773 0.773 0.682 Ni
0.227 0.227 0.318 Ni
0.500 0.500 0.500 Ir
```

Summary:
space group = R-3m, No. 166
formation energy from the elements = -0.48 eV per atom